A plane-wave DFT calculation with PBE-GGA was carried out for TaCuTe2 after structural relaxation.

Values from the calculation:
Its final energy is -45.054 eV per cell. The calculation puts the theoretical density at 9.45 g/cm3. Its symmetry is Amm2. The magnetic moment is 0.000 μB/cell.

POSCAR file:
```
TaCuTe2
1.0
3.7611 0.0000 0.0000
0.0000 3.7102 0.0000
0.0000 0.0000 12.5846
Ta Cu Te
2 2 4
direct
0.0000 0.0000 0.0000
0.0000 0.5000 0.5000
0.5000 0.0000 0.8421
0.5000 0.5000 0.3421
0.0000 0.0000 0.3309
0.0000 0.5000 0.8309
0.5000 0.0000 0.6028
0.5000 0.5000 0.1028
```

---

A plane-wave DFT calculation with PBE-GGA was carried out for Y2Sc5Co2 after structural relaxation.

Values from the calculation:
The calculation puts the theoretical density at 4.21 g/cm3. The calculation puts the formation energy at -1.115 eV per formula unit. Its symmetry is Cmce. The magnetic moment is 0.000 μB/cell.

POSCAR file:
```
Y2Sc5Co2
1.0
9.4067 -3.3139 0.0000
9.4067 3.3139 0.0000
0.0000 0.0000 6.5793
Y Sc Co
4 10 4
direct
0.2289 0.2289 0.0000
0.2711 0.2711 0.5000
0.7289 0.7289 0.5000
0.7711 0.7711 0.0000
0.0000 0.0000 0.0000
0.0766 0.7172 0.6767
0.2172 0.5766 0.1767
0.2828 0.9234 0.6767
0.4234 0.7828 0.1767
0.5000 0.5000 0.5000
0.5766 0.2172 0.8233
0.7172 0.0766 0.3233
0.7828 0.4234 0.8233
0.9234 0.2828 0.3233
0.1198 0.8802 0.3826
0.3802 0.6198 0.8826
0.6198 0.3802 0.1174
0.8802 0.1198 0.6173
```

---

A plane-wave DFT calculation with PBE-GGA was carried out for Ni2HgSe after structural relaxation.

Values from the calculation:
Its final energy is -52.868 eV per cell. The calculation puts the theoretical density at 10.17 g/cm3. Its symmetry is F-43m. The magnetic moment is 4.424 μB/cell.

POSCAR file:
```
Ni2HgSe
1.0
6.3770 0.0000 0.0000
0.0000 6.3770 0.0000
0.0000 0.0000 6.3770
Ni Hg Se
8 4 4
direct
0.0000 0.0000 0.0000
0.0000 0.5000 0.5000
0.2500 0.2500 0.2500
0.2500 0.7500 0.7500
0.5000 0.0000 0.5000
0.5000 0.5000 0.0000
0.7500 0.2500 0.7500
0.7500 0.7500 0.2500
0.0000 0.0000 0.5000
0.0000 0.5000 0.0000
0.5000 0.0000 0.0000
0.5000 0.5000 0.5000
0.2500 0.2500 0.7500
0.2500 0.7500 0.2500
0.7500 0.2500 0.2500
0.7500 0.7500 0.7500
```

---

A plane-wave DFT calculation with PBE-GGA was carried out for SrP2HS after structural relaxation.

Values from the calculation:
The calculation puts the theoretical density at 3.33 g/cm3. As for the energy above the most stable polymorph in this dataset: 0.0 meV per atom. Its symmetry is P4/mmm. The magnetic moment is 0.000 μB/cell.

POSCAR file:
```
SrP2HS
1.0
3.9242 0.0000 0.0000
0.0000 3.9242 0.0000
0.0000 0.0000 5.9095
Sr P H S
1 2 1 1
direct
0.0000 0.0000 0.0000
0.0000 0.5000 0.5000
0.5000 0.0000 0.5000
0.5000 0.5000 0.5000
0.5000 0.5000 0.0000
```

---

A plane-wave DFT calculation with PBE-GGA was carried out for YI2Cl after structural relaxation.

Values from the calculation:
The calculation puts the theoretical density at 5.49 g/cm3. As for the energy above the most stable polymorph in this dataset: 596.1 meV per atom. Its symmetry is Fm-3m. The magnetic moment is 0.000 μB/cell.

POSCAR file:
```
YI2Cl
1.0
7.7042 0.0000 0.0000
0.0000 7.7042 0.0000
0.0000 0.0000 7.7042
Y I Cl
4 8 4
direct
0.0000 0.0000 0.0000
0.0000 0.5000 0.5000
0.5000 0.0000 0.5000
0.5000 0.5000 0.0000
0.2500 0.2500 0.2500
0.2500 0.2500 0.7500
0.2500 0.7500 0.2500
0.2500 0.7500 0.7500
0.7500 0.2500 0.2500
0.7500 0.2500 0.7500
0.7500 0.7500 0.2500
0.7500 0.7500 0.7500
0.0000 0.0000 0.5000
0.0000 0.5000 0.0000
0.5000 0.0000 0.0000
0.5000 0.5000 0.5000
```

---

A plane-wave DFT calculation with PBE-GGA was carried out for BeSb2Ru after structural relaxation.

Values from the calculation:
The calculation puts the theoretical density at 8.18 g/cm3. As for the energy above the most stable polymorph in this dataset: 526.2 meV per atom. Its symmetry is Cmmm. The magnetic moment is 0.000 μB/cell.

POSCAR file:
```
BeSb2Ru
1.0
5.8737 0.0000 0.0000
0.0000 7.3678 0.0000
0.0000 0.0000 3.3190
Be Sb Ru
2 4 2
direct
0.0000 0.0000 0.0000
0.5000 0.5000 0.0000
0.2500 0.2500 0.5000
0.2500 0.7500 0.5000
0.7500 0.2500 0.5000
0.7500 0.7500 0.5000
0.0000 0.5000 0.0000
0.5000 0.0000 0.0000
```

---

A plane-wave DFT calculation with PBE-GGA was carried out for KHg4Pd4 after structural relaxation.

Values from the calculation:
The calculation puts the theoretical density at 10.65 g/cm3. The calculation puts the formation energy at -1.288 eV per formula unit. Its symmetry is P4_2/nmc. The magnetic moment is 0.000 μB/cell.

POSCAR file:
```
KHg4Pd4
1.0
6.3879 0.0000 0.0000
0.0000 6.3879 0.0000
0.0000 0.0000 9.6881
K Hg Pd
2 8 8
direct
0.2500 0.7500 0.2500
0.7500 0.2500 0.7500
0.0249 0.2500 0.0388
0.2500 0.0249 0.5388
0.2500 0.4751 0.5388
0.4751 0.2500 0.0388
0.5249 0.7500 0.9612
0.7500 0.5249 0.4612
0.7500 0.9751 0.4612
0.9751 0.7500 0.9612
0.0245 0.2500 0.3311
0.2500 0.0245 0.8311
0.2500 0.4755 0.8311
0.4755 0.2500 0.3311
0.5245 0.7500 0.6689
0.7500 0.5245 0.1689
0.7500 0.9755 0.1689
0.9755 0.7500 0.6689
```

---

A plane-wave DFT calculation with PBE-GGA was carried out for YSiIr2 after structural relaxation.

Values from the calculation:
Its final energy is -31.277 eV per cell. The calculation puts the theoretical density at 11.94 g/cm3. Its symmetry is Pmm2. The magnetic moment is 0.000 μB/cell.

POSCAR file:
```
YSiIr2
1.0
3.0096 0.0000 0.0000
0.0000 3.8643 0.0000
0.0000 0.0000 5.9968
Y Si Ir
1 1 2
direct
0.0000 0.0000 0.0000
0.5000 0.5000 0.6448
0.0000 0.0000 0.5287
0.5000 0.5000 0.2458
```

---

A plane-wave DFT calculation with PBE-GGA was carried out for CaMgGa2Cu after structural relaxation.

Values from the calculation:
The calculation puts the theoretical density at 4.42 g/cm3. The calculation puts the formation energy at -1.395 eV per formula unit. Its symmetry is I-4m2. The magnetic moment is 0.000 μB/cell.

POSCAR file:
```
CaMgGa2Cu
1.0
4.1304 0.0000 0.0000
0.0000 4.1304 0.0000
0.0000 0.0000 11.7820
Ca Mg Ga Cu
2 2 4 2
direct
0.0000 0.0000 0.0000
0.5000 0.5000 0.5000
0.0000 0.5000 0.2500
0.5000 0.0000 0.7500
0.0000 0.0000 0.3918
0.0000 0.0000 0.6082
0.5000 0.5000 0.1082
0.5000 0.5000 0.8918
0.0000 0.5000 0.7500
0.5000 0.0000 0.2500
```

---

A plane-wave DFT calculation with PBE-GGA was carried out for BeHSe after structural relaxation.

Values from the calculation:
The calculation puts the theoretical density at 3.48 g/cm3. As for the energy above the most stable polymorph in this dataset: 140.2 meV per atom. Its symmetry is Pm. The magnetic moment is 0.000 μB/cell.

POSCAR file:
```
BeHSe
1.0
3.9989 0.0000 0.0000
0.0000 3.6867 0.0000
-1.8208 0.0000 5.7606
Be H Se
2 2 2
direct
0.0000 0.0000 0.0000
0.3765 0.5000 0.5603
0.7271 0.5000 0.4703
0.7849 0.5000 0.6090
0.0621 0.5000 0.2010
0.3977 0.0000 0.7719
```

---

A plane-wave DFT calculation with PBE-GGA was carried out for Zr3CrBi after structural relaxation.

Values from the calculation:
The calculation puts the theoretical density at 7.57 g/cm3. The calculation puts the formation energy at 1.527 eV per formula unit. As for the energy above the most stable polymorph in this dataset: 0.0 meV per atom. Its symmetry is Pm-3m. The magnetic moment is 0.899 μB/cell.

POSCAR file:
```
Zr3CrBi
1.0
4.8958 0.0000 0.0000
0.0000 4.8958 0.0000
0.0000 0.0000 4.8958
Zr Cr Bi
3 1 1
direct
0.0000 0.0000 0.5000
0.0000 0.5000 0.0000
0.5000 0.0000 0.0000
0.0000 0.0000 0.0000
0.5000 0.5000 0.5000
```

---

A plane-wave DFT calculation with PBE-GGA was carried out for Cr3N after structural relaxation.

Values from the calculation:
Its final energy is -76.635 eV per cell. The calculation puts the theoretical density at 6.87 g/cm3. Its symmetry is P6_322. The magnetic moment is 0.000 μB/cell.

POSCAR file:
```
Cr3N
1.0
4.6729 0.0000 0.0000
-2.3364 4.0468 0.0000
0.0000 0.0000 4.3443
Cr N
6 2
direct
0.0000 0.3238 0.0000
0.0000 0.6762 0.5000
0.3238 0.0000 0.0000
0.3238 0.3238 0.5000
0.6762 0.0000 0.5000
0.6762 0.6762 0.0000
0.3333 0.6667 0.2500
0.6667 0.3333 0.7500
```

---

A plane-wave DFT calculation with PBE-GGA was carried out for LaGdInRh after structural relaxation.

Values from the calculation:
The calculation puts the theoretical density at 8.32 g/cm3. The calculation puts the formation energy at -1.893 eV per formula unit. Its symmetry is F-43m. The magnetic moment is 28.441 μB/cell.

POSCAR file:
```
LaGdInRh
1.0
7.4311 0.0000 0.0000
0.0000 7.4311 0.0000
0.0000 0.0000 7.4311
La Gd In Rh
4 4 4 4
direct
0.0000 0.0000 0.0000
0.0000 0.5000 0.5000
0.5000 0.0000 0.5000
0.5000 0.5000 0.0000
0.0000 0.0000 0.5000
0.0000 0.5000 0.0000
0.5000 0.0000 0.0000
0.5000 0.5000 0.5000
0.2500 0.2500 0.7500
0.2500 0.7500 0.2500
0.7500 0.2500 0.2500
0.7500 0.7500 0.7500
0.2500 0.2500 0.2500
0.2500 0.7500 0.7500
0.7500 0.2500 0.7500
0.7500 0.7500 0.2500
```

---

A plane-wave DFT calculation with PBE-GGA was carried out for SrNd2Eu after structural relaxation.

Values from the calculation:
The calculation puts the theoretical density at 5.49 g/cm3. The calculation puts the formation energy at 0.644 eV per formula unit. As for the energy above the most stable polymorph in this dataset: 25.3 meV per atom. Its symmetry is P4/mmm. The magnetic moment is 7.514 μB/cell.

POSCAR file:
```
SrNd2Eu
1.0
5.3208 0.0000 0.0000
0.0000 5.3208 0.0000
0.0000 0.0000 5.6382
Sr Nd Eu
1 2 1
direct
0.0000 0.0000 0.0000
0.0000 0.5000 0.5000
0.5000 0.0000 0.5000
0.5000 0.5000 0.0000
```

---

A plane-wave DFT calculation with PBE-GGA was carried out for MnPd3Au12 after structural relaxation.

Values from the calculation:
The calculation puts the theoretical density at 16.42 g/cm3. The calculation puts the formation energy at -0.978 eV per formula unit. Its symmetry is P4/mmm. The magnetic moment is 4.216 μB/cell.

POSCAR file:
```
MnPd3Au12
1.0
4.1287 0.0000 0.0000
0.0000 4.1287 0.0000
0.0000 0.0000 16.2406
Mn Pd Au
1 3 12
direct
0.0000 0.0000 0.0000
0.0000 0.0000 0.2499
0.0000 0.0000 0.5000
0.0000 0.0000 0.7501
0.0000 0.5000 0.1237
0.0000 0.5000 0.3750
0.0000 0.5000 0.6250
0.0000 0.5000 0.8763
0.5000 0.0000 0.1237
0.5000 0.0000 0.3750
0.5000 0.0000 0.6250
0.5000 0.0000 0.8763
0.5000 0.5000 0.0000
0.5000 0.5000 0.2499
0.5000 0.5000 0.5000
0.5000 0.5000 0.7501
```

---

A plane-wave DFT calculation with PBE-GGA was carried out for Pm4Sn3Pd after structural relaxation.

Values from the calculation:
The calculation puts the theoretical density at 7.60 g/cm3. The calculation puts the formation energy at -5.989 eV per formula unit. Its symmetry is Pmm2. The magnetic moment is 0.000 μB/cell.

POSCAR file:
```
Pm4Sn3Pd
1.0
4.4264 0.0000 0.0000
0.0000 4.4596 0.0000
0.0000 0.0000 11.5397
Pm Sn Pd
4 3 1
direct
0.0000 0.0000 0.0000
0.0000 0.5000 0.2609
0.5000 0.0000 0.4748
0.5000 0.5000 0.7667
0.0000 0.0000 0.7178
0.0000 0.5000 0.5387
0.5000 0.5000 0.0458
0.5000 0.0000 0.2080
```

---

A plane-wave DFT calculation with PBE-GGA was carried out for OsRu2Pb after structural relaxation.

Values from the calculation:
The calculation puts the theoretical density at 15.39 g/cm3. The calculation puts the formation energy at 2.764 eV per formula unit. Its symmetry is Cmmm. The magnetic moment is 0.004 μB/cell.

POSCAR file:
```
OsRu2Pb
1.0
5.8697 0.0000 0.0000
0.0000 7.5710 0.0000
0.0000 0.0000 2.9109
Os Ru Pb
2 4 2
direct
0.0000 0.0000 0.0000
0.5000 0.5000 0.0000
0.2500 0.2500 0.5000
0.2500 0.7500 0.5000
0.7500 0.2500 0.5000
0.7500 0.7500 0.5000
0.0000 0.5000 0.0000
0.5000 0.0000 0.0000
```